DFT (GGA+U) results for a relaxed MgU2MnO8 crystal.

a = 5.2010 Å, b = 5.2010 Å, c = 6.4202 Å
α = 113.89°, β = 113.89°, γ = 90.00°
Closest atoms and distances in Å follow each position.
Fractional coordinates of all 12 atoms:
1 Mg 0.0000 0.0000 0.0000  4 O 2.05
2 U 0.5000 0.5000 0.0000  8 O 2.17-2.27
3 U 0.2500 0.7500 0.5000  8 O 2.15-2.30
4 Mn 0.7500 0.2500 0.5000  4 O 2.09
5 O 0.8670 0.8758 0.3040  1 Mn 2.09, 2 U 2.15-2.27
6 O 0.4369 0.4281 0.3040  1 Mn 2.09, 2 U 2.15-2.27
7 O 0.6355 0.6909 0.8074  1 Mg 2.05, 1 U 2.17
8 O 0.1719 0.1164 0.8074  1 Mg 2.05, 1 U 2.17
9 O 0.8836 0.3645 0.1926  1 Mg 2.05, 1 U 2.17
10 O 0.3091 0.8281 0.1926  1 Mg 2.05, 1 U 2.17
11 O 0.1242 0.5631 0.6960  1 Mn 2.09, 2 U 2.15-2.27
12 O 0.5719 0.1330 0.6960  1 Mn 2.09, 2 U 2.15-2.27

Volume in Å³/cell: 142.4
Crystal system: tetragonal
Spin magnetization in μB per formula unit: 5.00
Total energy in eV/atom: -8.695